Cd2NiBO4: relaxed, PBE+U.

Computed properties:
calculated volume: 15.1 Å³ per atom
energy: -4.986 eV/atom
magnetic moment: 2.0 μB/cell

abc: 6.927 6.927 6.910
angles: 117.61 117.61 59.63
Atoms (fractional coordinates):
1 Cd 0.000 0.000 0.000
2 Cd 0.000 0.000 0.500
3 Cd 0.000 0.500 0.000
4 Cd 0.500 0.000 0.500
5 Ni 0.000 0.500 0.500
6 Ni 0.500 0.000 0.000
7 B 0.500 0.500 0.000
8 B 0.500 0.500 0.500
9 O 0.131 0.175 0.402
10 O 0.175 0.131 0.902
11 O 0.288 0.611 0.998
12 O 0.389 0.712 0.502
13 O 0.611 0.288 0.498
14 O 0.712 0.389 0.002
15 O 0.825 0.869 0.098
16 O 0.869 0.825 0.598